No. 1
The following is a DFT calculation (SCAN) of a crystal of EuCuAs relaxed with PBEsol.

Summary:
- ρ (g/cm3) = 8.008
- ΔE_f (eV/atom) = -0.94
- symmetry = P6_3/mmc
- uncorrected energy (eV for the cell shown) = -183.83
- crystal system = hexagonal
- calculated volume (Å³/cell) = 120

abc: 4.146 4.146 8.091
angles: 90.00 90.00 120.00
Sites, in units of the cell vectors:
Eu 0.000 0.000 0.500
As 0.333 0.667 0.250
Eu 0.000 0.000 0.000
Cu 0.667 0.333 0.250
As 0.667 0.333 0.750
Cu 0.333 0.667 0.750

No. 2
The following is a DFT calculation (SCAN) of a crystal of CuAs3F relaxed with PBEsol.

Summary:
- ρ (g/cm3) = 5.272
- distance to the lowest polymorph of the same formula (meV/atom) = 0
- raw formation energy (eV per atom) = 0.450
- symmetry = Pm-3m
- uncorrected energy (eV for the cell shown) = -77.06
- crystal system = cubic
- calculated volume (Å³/cell) = 97

abc: 4.591 4.591 4.591
angles: 90.00 90.00 90.00
Sites, in units of the cell vectors:
Cu 0.000 0.000 0.000
As 0.500 0.000 0.000
F 0.500 0.500 0.500
As 0.000 0.000 0.500
As 0.000 0.500 0.000

No. 3
The following is a DFT calculation (SCAN) of a crystal of CuAs3F relaxed with PBEsol.

Summary:
- ρ (g/cm3) = 5.876
- distance to the lowest polymorph of the same formula (meV/atom) = 206
- raw formation energy (eV per atom) = 0.656
- symmetry = Pm-3m
- uncorrected energy (eV for the cell shown) = -76.03
- crystal system = cubic
- calculated volume (Å³/cell) = 87

abc: 4.428 4.428 4.428
angles: 90.00 90.00 90.00
Sites, in units of the cell vectors:
As 0.000 0.500 0.000
As 0.500 0.000 0.000
As 0.000 0.000 0.500
Cu 0.500 0.500 0.500
F 0.000 0.000 0.000

- uncorrected energy of number 3 (CuAs3F)?
  -76.03 eV for the cell shown